Below is a relaxed SmMg6Ag2 crystal, with properties calculated at the PBE level.

abc: 6.9492 6.9492 4.8944
angles: 109.70 109.70 84.44
Atoms (fractional coordinates):
1 Sm 0.0000 0.0000 0.0000
2 Mg 0.1514 0.4813 0.8162
3 Mg 0.2474 0.7526 0.5000
4 Mg 0.4813 0.1514 0.8162
5 Mg 0.5187 0.8486 0.1838
6 Mg 0.7526 0.2474 0.5000
7 Mg 0.8486 0.5187 0.1838
8 Ag 0.3310 0.3310 0.3291
9 Ag 0.6690 0.6690 0.6709

Calculated values
M_tot ... 0.00 μB per formula unit
E_form ... -0.07 eV per atom